Density functional theory data (PBE) for an optimized crystal structure of Hf12In5N2.

uncorrected formation energy: -0.256 eV per atom
raw total energy: -154.65 eV per cell

Cell lengths 6.6524, 9.0159, 8.1106 Å; angles 116.77, 90.00, 111.65 degrees
Closest atoms and distances in Å follow each position.
Positions (direct):
N: 0.7348 0.0000 0.0000  6 Hf 2.12-2.37
N: 0.2652 0.0000 0.0000  6 Hf 2.12-2.37
In: 0.7599 0.5198 0.5034  8 Hf 3.03-3.14, 2 In 3.34
In: 0.2401 0.4802 0.4966  8 Hf 3.03-3.14, 2 In 3.34
In: 0.0000 0.0000 0.5000  6 Hf 2.64-2.72
In: 0.2402 0.4804 0.9837  8 Hf 3.03-3.14, 2 In 3.34
In: 0.7598 0.5196 0.0163  8 Hf 3.03-3.14, 2 In 3.34
Hf: 0.1104 0.7104 0.8552  1 N 2.12
Hf: 0.8896 0.2896 0.1448  1 N 2.12
Hf: 0.8513 0.2686 0.6340  1 In 2.72, 1 Hf 2.89
Hf: 0.1487 0.7314 0.3660  1 In 2.72, 1 Hf 2.89
Hf: 0.0002 0.0003 0.1750  2 N 2.26
Hf: 0.9998 0.9997 0.8250  2 N 2.26
Hf: 0.4174 0.2686 0.6340  1 In 2.72, 1 Hf 2.89
Hf: 0.5000 0.0001 0.2197  2 N 2.37
Hf: 0.5000 0.9999 0.7803  2 N 2.37
Hf: 0.4000 0.2896 0.1448  1 N 2.12
Hf: 0.5826 0.7314 0.3660  1 In 2.72, 1 Hf 2.89
Hf: 0.6000 0.7104 0.8552  1 N 2.12